1.
MnBrCl2 (GGA-PBE, relaxed); raw formation energy = 8.4 kJ/mol of atoms; symmetry = Fm-3m, No. 225; energy above the most stable polymorph in this dataset = 922 meV/atom
1.0
0.000 3.511 3.511
3.511 0.000 3.511
3.511 3.511 0.000
Br Mn Cl
1 1 2
Direct
0.500 0.500 0.500
0.000 0.000 0.000
0.250 0.250 0.250
0.750 0.750 0.750

2.
Mn2BrCl (GGA-PBE, relaxed); raw formation energy = 10.2 kJ/mol of atoms; symmetry = C2/m, No. 12; energy above the most stable polymorph in this dataset = 351 meV/atom
1.0
5.784 -0.004 -0.010
-2.973 4.457 0.001
-0.162 1.348 3.189
Cl Mn Br
1 2 1
Direct
0.500 0.500 0.000
0.500 0.000 0.500
0.000 0.000 0.000
0.000 0.500 0.500

3.
MnBrCl2 (GGA-PBE, relaxed); raw formation energy = 8.1 kJ/mol of atoms; symmetry = I4/mmm, No. 139; energy above the most stable polymorph in this dataset = 919 meV/atom
1.0
-3.204 -2.582 -3.054
-3.468 -1.402 3.503
1.624 4.795 -0.797
Cl Mn Br
2 1 1
Direct
0.000 0.000 0.000
0.500 0.500 0.000
0.250 0.750 0.500
0.750 0.250 0.500

4.
Mn2BrCl (GGA-PBE, relaxed); raw formation energy = 17.0 kJ/mol of atoms; symmetry = I-4m2, No. 119; energy above the most stable polymorph in this dataset = 421 meV/atom
1.0
6.729 0.329 0.000
4.485 5.026 0.000
-5.607 -2.678 2.603
Cl Mn Br
1 2 1
Direct
0.750 0.250 0.500
0.000 0.000 0.000
0.250 0.750 0.500
0.500 0.500 0.000

5.
MnBrCl2 (GGA-PBE, relaxed); raw formation energy = -59.8 kJ/mol of atoms; symmetry = C2/m, No. 12; energy above the most stable polymorph in this dataset = 214 meV/atom
1.0
6.738 0.093 -0.147
5.933 3.195 -0.147
3.195 0.829 5.617
Br Cl Mn
1 2 1
Direct
0.750 0.750 0.750
0.602 0.602 0.395
0.898 0.898 0.105
0.250 0.250 0.250

6.
Mn2BrCl2 (GGA-PBE, relaxed); raw formation energy = -6.3 kJ/mol of atoms; symmetry = P4/mbm, No. 127; energy above the most stable polymorph in this dataset = 0 meV/atom
1.0
-3.046 -4.981 5.725
2.141 -6.483 -4.501
3.028 -0.074 1.547
Mn Br Cl
4 2 4
Direct
0.384 0.116 0.500
0.884 0.384 0.500
0.116 0.616 0.500
0.616 0.884 0.500
0.000 0.000 0.000
0.500 0.500 0.000
0.870 0.630 0.000
0.370 0.870 0.000
0.130 0.370 0.000
0.630 0.130 0.000

7.
Mn2BrCl3 (GGA-PBE, relaxed); raw formation energy = -97.2 kJ/mol of atoms; symmetry = C2/m, No. 12
1.0
-2.475 2.557 -1.186
-6.360 -4.923 -3.271
-5.531 1.442 8.718
Mn Br Cl
4 2 6
Direct
0.626 0.126 0.622
0.126 0.622 0.126
0.874 0.378 0.874
0.374 0.874 0.378
0.434 0.437 0.696
0.566 0.563 0.304
0.061 0.090 0.788
0.809 0.837 0.545
0.191 0.163 0.455
0.316 0.333 0.035
0.939 0.910 0.212
0.684 0.667 0.965

8.
Mn2BrCl (GGA-PBE, relaxed); raw formation energy = -23.6 kJ/mol of atoms; symmetry = Cm, No. 8; energy above the most stable polymorph in this dataset = 0 meV/atom
1.0
-2.866 -0.736 1.847
0.261 -0.767 3.393
-1.704 8.244 3.613
Cl Br Mn
1 1 2
Direct
0.289 0.289 0.160
0.464 0.464 0.579
0.743 0.743 0.760
0.004 0.004 0.001

Q: Among the records above, which one has the lowest raw formation energy?
A: Mn2BrCl3